This record from Alexandria via LeMat-Bulk describes a relaxed structure of BaCoI2O. The functional is GGA+U.

The value obtained for the final energy is -19.85 eV/cell. As for the density of states at the Fermi level: 0.2611 states/eV/atom. The value obtained for the energy above the most stable polymorph in this dataset is 0 meV per atom.

The structure belongs to space group P4/mmm (No. 123); the cell edges are 6.010, 6.010 and 3.831 Å and the angles 90.00°, 90.00° and 90.00°. The distinct sites, in fractional coordinates, are Ba at (0.000, 0.000, 0.000), Co at (0.500, 0.500, 0.500), I at (0.000, 0.500, 0.500) and O at (0.500, 0.500, 0.000).